1.
Cu2SiWSe after structural relaxation, computed with PBE.

Calculated values
magnetic moment = 3.411 μB per formula unit
DOS at the Fermi energy = 3.0 states/eV/f.u.
space-group type = P4/mmm
energy relative to the elements, uncorrected = 32.08 kcal/mol of atoms

Cell: 4.3088 4.3088 5.3112 Å, 90.00 90.00 90.00°
Sites, in units of the cell vectors:
1 Cu 0.0000 0.5000 0.0000
2 Cu 0.5000 0.0000 0.0000
3 Si 0.0000 0.0000 0.5000
4 W 0.5000 0.5000 0.5000
5 Se 0.0000 0.0000 0.0000

2.
Sm3Cu5Se12 after structural relaxation, computed with PBE.

Calculated values
magnetic moment = 0.000 μB per formula unit
DOS at the Fermi energy = 14.7 states/eV/f.u.
space-group type = Ia-3d
energy relative to the elements, uncorrected = -14.69 kcal/mol of atoms

Cell: 13.4966 13.4966 13.4966 Å, 109.47 109.47 109.47°
Sites, in units of the cell vectors:
1 Sm 0.1250 0.2500 0.3750
2 Sm 0.1250 0.3750 0.7500
3 Sm 0.2500 0.3750 0.1250
4 Sm 0.2500 0.8750 0.6250
5 Sm 0.3750 0.1250 0.2500
6 Sm 0.3750 0.7500 0.1250
7 Sm 0.6250 0.2500 0.8750
8 Sm 0.6250 0.8750 0.7500
9 Sm 0.7500 0.1250 0.3750
10 Sm 0.7500 0.6250 0.8750
11 Sm 0.8750 0.6250 0.2500
12 Sm 0.8750 0.7500 0.6250
13 Cu 0.0000 0.0000 0.0000
14 Cu 0.0000 0.0000 0.5000
15 Cu 0.0000 0.5000 0.0000
16 Cu 0.0000 0.5000 0.5000
17 Cu 0.1250 0.7500 0.8750
18 Cu 0.1250 0.8750 0.2500
19 Cu 0.2500 0.1250 0.8750
20 Cu 0.2500 0.6250 0.3750
21 Cu 0.3750 0.2500 0.6250
22 Cu 0.3750 0.6250 0.7500
23 Cu 0.5000 0.0000 0.0000
24 Cu 0.5000 0.0000 0.5000
25 Cu 0.5000 0.5000 0.0000
26 Cu 0.5000 0.5000 0.5000
27 Cu 0.6250 0.3750 0.2500
28 Cu 0.6250 0.7500 0.3750
29 Cu 0.7500 0.3750 0.6250
30 Cu 0.7500 0.8750 0.1250
31 Cu 0.8750 0.1250 0.7500
32 Cu 0.8750 0.2500 0.1250
33 Se 0.0303 0.2053 0.1207
34 Se 0.0303 0.3250 0.9095
35 Se 0.0846 0.7053 0.6750
36 Se 0.0846 0.8793 0.4095
37 Se 0.0905 0.6207 0.4154
38 Se 0.0905 0.9697 0.6750
39 Se 0.1207 0.0303 0.2053
40 Se 0.1207 0.5905 0.9154
41 Se 0.1750 0.2053 0.5846
42 Se 0.1750 0.4697 0.5905
43 Se 0.2053 0.1207 0.0303
44 Se 0.2053 0.5846 0.1750
45 Se 0.2947 0.3250 0.9154
46 Se 0.2947 0.4697 0.3793
47 Se 0.3250 0.9095 0.0303
48 Se 0.3250 0.9154 0.2947
49 Se 0.3793 0.2947 0.4697
50 Se 0.3793 0.5846 0.9095
51 Se 0.4095 0.0846 0.8793
52 Se 0.4095 0.8250 0.5303
53 Se 0.4154 0.0905 0.6207
54 Se 0.4154 0.8250 0.7947
55 Se 0.4697 0.3793 0.2947
56 Se 0.4697 0.5905 0.1750
57 Se 0.5303 0.4095 0.8250
58 Se 0.5303 0.6207 0.7053
59 Se 0.5846 0.1750 0.2053
60 Se 0.5846 0.9095 0.3793
61 Se 0.5905 0.1750 0.4697
62 Se 0.5905 0.9154 0.1207
63 Se 0.6207 0.4154 0.0905
64 Se 0.6207 0.7053 0.5303
65 Se 0.6750 0.0846 0.7053
66 Se 0.6750 0.0905 0.9697
67 Se 0.7053 0.5303 0.6207
68 Se 0.7053 0.6750 0.0846
69 Se 0.7947 0.4154 0.8250
70 Se 0.7947 0.8793 0.9697
71 Se 0.8250 0.5303 0.4095
72 Se 0.8250 0.7947 0.4154
73 Se 0.8793 0.4095 0.0846
74 Se 0.8793 0.9697 0.7947
75 Se 0.9095 0.0303 0.3250
76 Se 0.9095 0.3793 0.5846
77 Se 0.9154 0.1207 0.5905
78 Se 0.9154 0.2947 0.3250
79 Se 0.9697 0.6750 0.0905
80 Se 0.9697 0.7947 0.8793

3.
SmCu2Se3 after structural relaxation, computed with PBE.

Calculated values
magnetic moment = 0.000 μB per formula unit
DOS at the Fermi energy = 4.9 states/eV/f.u.
space-group type = Cmcm
energy relative to the elements, uncorrected = -17.17 kcal/mol of atoms

Cell: 7.5835 7.5835 4.8992 Å, 90.00 90.00 110.63°
Sites, in units of the cell vectors:
1 Sm 0.2347 0.7653 0.7500
2 Sm 0.7653 0.2347 0.2500
3 Cu 0.3058 0.3058 0.0000
4 Cu 0.3058 0.3058 0.5000
5 Cu 0.6942 0.6942 0.0000
6 Cu 0.6942 0.6942 0.5000
7 Se 0.0446 0.3430 0.7500
8 Se 0.3430 0.0446 0.2500
9 Se 0.3865 0.6135 0.2500
10 Se 0.6135 0.3865 0.7500
11 Se 0.6570 0.9554 0.7500
12 Se 0.9554 0.6570 0.2500